No. 1
Computed, not measured: a relaxed structure of Si2TeAs at the PBE level of DFT.

Values from the calculation:
The volume is 79 Å³/f.u. As for the crystal system: orthorhombic. The formation energy without anion corrections is 0.610 eV/atom.

abc: 6.779 6.800 3.410
angles: 90.00 90.00 90.00
Space group Cmmm (No. 65)
Asymmetric unit:
1 Si 0.250 0.250 0.000
2 Te 0.000 0.000 0.500
3 As 0.000 0.500 0.500

=====

No. 2
Computed, not measured: a relaxed structure of Si2TeAs at the PBE level of DFT.

Values from the calculation:
The volume is 92 Å³/f.u. As for the crystal system: trigonal. The formation energy without anion corrections is 0.124 eV/atom.

abc: 3.7361 3.7361 22.8171
angles: 90.00 90.00 120.00
Space group R3m (No. 160, hexagonal axes)
Asymmetric unit:
1 Si 0.0000 0.0000 0.0000
2 Si 0.0000 0.0000 0.2536
3 Te 0.0000 0.0000 0.5186
4 As 0.0000 0.0000 0.7173